# 1
## NaSn2Te4 (GGA-PBE)

Data for a geometry-optimized NaSn2Te4 structure.

The structure in CIF format:
```
data_NaSn2Te4
_space_group_name_H-M_alt 'C m c m'
_space_group_IT_number 63
_space_group_name_Hall '-C 2c 2'
_cell_length_a 4.348
_cell_length_b 14.536
_cell_length_c 14.348
_cell_angle_alpha 90.00
_cell_angle_beta 90.00
_cell_angle_gamma 90.00
loop_
_atom_site_label
_atom_site_type_symbol
_atom_site_fract_x
_atom_site_fract_y
_atom_site_fract_z
_atom_site_occupancy
Na1 Na 0.000 0.100 0.250 1
Sn1 Sn 0.000 0.361 0.067 1
Te1 Te 0.000 0.000 0.000 1
Te2 Te 0.000 0.274 0.623 1
Te3 Te 0.000 0.448 0.250 1
```

Summary:
* formation energy from raw total energies: -0.282 eV per atom
* ΔE to the lowest computed polymorph: 0 meV/atom


# 2
## Na3SnTe4 (GGA-PBE)

Data for a geometry-optimized Na3SnTe4 structure.

The structure in CIF format:
```
data_Na3SnTe4
_space_group_name_H-M_alt 'P n m a'
_space_group_IT_number 62
_cell_length_a 8.821
_cell_length_b 10.777
_cell_length_c 11.825
_cell_angle_alpha 90.00
_cell_angle_beta 90.00
_cell_angle_gamma 90.00
loop_
_space_group_symop_operation_xyz
'x,y,z'
'-x,-y,-z'
'-x+1/2,-y,z+1/2'
'x+1/2,y,-z+1/2'
'x+1/2,-y+1/2,-z+1/2'
'-x+1/2,y+1/2,z+1/2'
'-x,y+1/2,-z'
'x,-y+1/2,z'
loop_
_atom_site_label
_atom_site_type_symbol
_atom_site_fract_x
_atom_site_fract_y
_atom_site_fract_z
_atom_site_occupancy
Na1 Na 0.169 0.027 0.237 1
Na2 Na 0.222 0.250 0.949 1
Sn1 Sn 0.144 0.250 0.516 1
Te1 Te 0.000 0.250 0.725 1
Te2 Te 0.048 0.750 0.672 1
Te3 Te 0.164 0.541 0.978 1
```

Summary:
* formation energy from raw total energies: -0.534 eV per atom
* ΔE to the lowest computed polymorph: 0 meV/atom